Compound: Pm2ScPaAs4
Source: the Alexandria database
Functional: PBE
Structure: relaxed

```
Pm2ScPaAs4
1.0
4.126 0.000 0.000
0.000 7.073 0.107
0.000 -2.487 6.718
Pm Sc Pa As
2 1 1 4
Direct
0.500 0.000 0.500 Pm
0.000 0.500 0.500 Pm
0.000 0.000 0.000 Sc
0.500 0.500 0.000 Pa
0.500 0.240 0.230 As
0.500 0.760 0.770 As
0.000 0.250 0.765 As
0.000 0.750 0.235 As
```

Results
For the total energy, the calculation gives -54.829 eV for the cell shown. The formation energy is -1362.7 meV per atom.

***

Compound: PmPaAsSe
Source: the Alexandria database
Functional: PBE
Structure: relaxed

```
PmPaAsSe
1.0
-0.312 4.402 -2.479
1.372 0.268 -4.864
-3.511 0.640 -3.588
As Pa Se Pm
1 1 1 1
Direct
0.000 0.000 0.000 As
0.250 0.250 0.250 Pa
0.500 0.500 0.500 Se
0.750 0.750 0.750 Pm
```

Results
The value obtained for the polymorph energy (0 for the lowest one) is 210 meV/atom. For the total energy, the calculation gives -26.838 eV for the cell shown. For the uncorrected formation energy, the calculation gives -1.11 eV/atom.

***

Question: What is the formula in the first record?
Answer: Pm2ScPaAs4